# 1
Here is a geometry-optimized Mg2NO structure from the Alexandria database. Energies are from GGA-PBE.

Output
The value obtained for the density of states at the Fermi level is 1.8 states/eV per cell. As for the distance to the lowest polymorph of the same formula: 44.67 kJ/mol of atoms. Its density is 3.30 g/cm3. As for the symmetry: Fm-3m, No. 225. The value obtained for the size of the total moment is 1.0 Bohr magnetons per cell. The value obtained for the uncorrected formation energy is -72.3 kJ/mol of atoms.

Cell lengths 3.826, 3.826, 3.826 Å; angles 60.00, 60.00, 60.00 degrees
Fractional positions:
Mg (0.250, 0.250, 0.250)
Mg (0.750, 0.750, 0.750)
N (0.000, 0.000, 0.000)
O (0.500, 0.500, 0.500)

***

# 2
Here is a geometry-optimized Mg2NO structure from the Alexandria database. Energies are from GGA-PBE.

Output
The value obtained for the density of states at the Fermi level is 1.5 states/eV per cell. As for the distance to the lowest polymorph of the same formula: 0.00 kJ/mol of atoms. Its density is 2.53 g/cm3. As for the symmetry: I-42d, No. 122. The value obtained for the size of the total moment is 2.0 Bohr magnetons per cell. The value obtained for the uncorrected formation energy is -117.0 kJ/mol of atoms.

Cell lengths 5.412, 5.412, 5.412 Å; angles 124.66, 124.66, 82.10 degrees
Fractional positions:
Mg (0.106, 0.625, 0.981)
Mg (0.375, 0.356, 0.481)
Mg (0.644, 0.125, 0.019)
Mg (0.875, 0.894, 0.519)
N (0.250, 0.750, 0.500)
N (0.500, 0.500, 0.000)
O (0.000, 0.000, 0.000)
O (0.750, 0.250, 0.500)

***

# 3
Here is a geometry-optimized MgN2O2 structure from the Alexandria database. Energies are from GGA-PBE.

Output
The value obtained for the density of states at the Fermi level is 2.0 states/eV per cell. As for the distance to the lowest polymorph of the same formula: 91.91 kJ/mol of atoms. Its density is 1.83 g/cm3. As for the symmetry: P4/mmm, No. 123. The value obtained for the size of the total moment is 8.0 Bohr magnetons per cell. The value obtained for the uncorrected formation energy is 178.1 kJ/mol of atoms.

Cell lengths 4.433, 4.433, 3.902 Å; angles 90.00, 90.00, 90.00 degrees
Fractional positions:
Mg (0.000, 0.000, 0.000)
N (0.000, 0.500, 0.000)
N (0.500, 0.000, 0.000)
O (0.000, 0.000, 0.500)
O (0.500, 0.500, 0.500)

***

# 4
Here is a geometry-optimized MgN2O2 structure from the Alexandria database. Energies are from GGA-PBE.

Output
The value obtained for the density of states at the Fermi level is 6.6 states/eV per cell. As for the distance to the lowest polymorph of the same formula: 84.56 kJ/mol of atoms. Its density is 2.06 g/cm3. As for the symmetry: P4/mmm, No. 123. The value obtained for the size of the total moment is 1.5 Bohr magnetons per cell. The value obtained for the uncorrected formation energy is 170.8 kJ/mol of atoms.

Cell lengths 3.815, 3.815, 4.673 Å; angles 90.00, 90.00, 90.00 degrees
Fractional positions:
Mg (0.000, 0.000, 0.000)
N (0.000, 0.000, 0.500)
N (0.500, 0.500, 0.500)
O (0.000, 0.500, 0.000)
O (0.500, 0.000, 0.000)

***

# 5
Here is a geometry-optimized MgOsN2O structure from the Alexandria database. Energies are from GGA-PBE.

Output
The value obtained for the density of states at the Fermi level is 3.5 states/eV per cell. Its density is 7.31 g/cm3. As for the symmetry: P4/mmm, No. 123. The value obtained for the size of the total moment is 0.0 Bohr magnetons per cell. The value obtained for the uncorrected formation energy is -0.9 kJ/mol of atoms.

Cell lengths 3.806, 3.806, 4.056 Å; angles 90.00, 90.00, 90.00 degrees
Fractional positions:
Mg (0.000, 0.000, 0.000)
Os (0.500, 0.500, 0.500)
N (0.000, 0.500, 0.500)
N (0.500, 0.000, 0.500)
O (0.500, 0.500, 0.000)

***

# 6
Here is a geometry-optimized MgOsN2O structure from the Alexandria database. Energies are from GGA-PBE.

Output
The value obtained for the density of states at the Fermi level is 5.9 states/eV per cell. Its density is 7.77 g/cm3. As for the symmetry: P4/mmm, No. 123. The value obtained for the size of the total moment is 1.7 Bohr magnetons per cell. The value obtained for the uncorrected formation energy is 154.8 kJ/mol of atoms.

Cell lengths 3.881, 3.881, 3.666 Å; angles 90.00, 90.00, 90.00 degrees
Fractional positions:
Mg (0.000, 0.000, 0.000)
Os (0.500, 0.500, 0.500)
N (0.000, 0.500, 0.000)
N (0.500, 0.000, 0.000)
O (0.000, 0.000, 0.500)

***

no.,total energy (eV/atom)
1,-4.87
2,-5.33
3,-3.79
4,-3.86
5,-6.90
6,-5.28